Record 1
Density functional theory data (PBE) for a geometry-optimized CsY3V structure.

CIF file:
```
data_CsY3V
_cell_length_a 5.5568
_cell_length_b 5.5568
_cell_length_c 5.5568
_cell_angle_alpha 90.00
_cell_angle_beta 90.00
_cell_angle_gamma 90.00
_symmetry_space_group_name_H-M 'P m -3 m'
_symmetry_Int_Tables_number 221
_symmetry_space_group_name_Hall '-P 4 2 3'
loop_
_atom_site_label
_atom_site_type_symbol
_atom_site_fract_x
_atom_site_fract_y
_atom_site_fract_z
_atom_site_occupancy
Cs1 Cs 0.0000 0.0000 0.0000 1
Y1 Y 0.0000 0.0000 0.5000 1
V1 V 0.5000 0.5000 0.5000 1
```

Properties
Energy relative to the elements, eV/atom: 1.876
Distance to the lowest polymorph of the same formula, meV/atom: 1224
Uncorrected energy, eV per atom: -4.00



Record 2
Density functional theory data (PBE) for a geometry-optimized Tb7Dy2Pu structure.

CIF file:
```
data_Tb7Dy2Pu
_cell_length_a 11.9404
_cell_length_b 16.5044
_cell_length_c 3.4328
_cell_angle_alpha 90.00
_cell_angle_beta 90.00
_cell_angle_gamma 90.00
_symmetry_space_group_name_H-M 'C m m m'
_symmetry_Int_Tables_number 65
_symmetry_space_group_name_Hall '-C 2 2'
loop_
_atom_site_label
_atom_site_type_symbol
_atom_site_fract_x
_atom_site_fract_y
_atom_site_fract_z
_atom_site_occupancy
Tb1 Tb 0.0000 0.0000 0.0000 1
Tb2 Tb 0.0000 0.1747 0.5000 1
Tb3 Tb 0.2418 0.1292 0.0000 1
Dy1 Dy 0.0000 0.3359 0.0000 1
Pu1 Pu 0.0000 0.5000 0.5000 1
```

Properties
Energy relative to the elements, eV/atom: 0.466
Uncorrected energy, eV per atom: -5.13



Record 3
Density functional theory data (PBE) for a geometry-optimized Sr2Ca2Sn structure.

CIF file:
```
data_Sr2Ca2Sn
_cell_length_a 8.5927
_cell_length_b 8.5927
_cell_length_c 6.0282
_cell_angle_alpha 90.00
_cell_angle_beta 90.00
_cell_angle_gamma 90.00
_symmetry_space_group_name_H-M 'P 4/m b m'
_symmetry_Int_Tables_number 127
_symmetry_space_group_name_Hall '-P 4 2ab'
loop_
_atom_site_label
_atom_site_type_symbol
_atom_site_fract_x
_atom_site_fract_y
_atom_site_fract_z
_atom_site_occupancy
Sr1 Sr 0.1533 0.3467 0.0000 1
Ca1 Ca 0.1649 0.6649 0.5000 1
Sn1 Sn 0.0000 0.0000 0.0000 1
```

Properties
Energy relative to the elements, eV/atom: -0.007
Distance to the lowest polymorph of the same formula, meV/atom: 144
Uncorrected energy, eV per atom: -2.28



Record 4
Density functional theory data (PBE) for a geometry-optimized YSc2Zn2 structure.

CIF file:
```
data_YSc2Zn2
_cell_length_a 7.9360
_cell_length_b 7.9360
_cell_length_c 3.4796
_cell_angle_alpha 90.00
_cell_angle_beta 90.00
_cell_angle_gamma 90.00
_symmetry_space_group_name_H-M 'P 4/m b m'
_symmetry_Int_Tables_number 127
_symmetry_space_group_name_Hall '-P 4 2ab'
loop_
_atom_site_label
_atom_site_type_symbol
_atom_site_fract_x
_atom_site_fract_y
_atom_site_fract_z
_atom_site_occupancy
Y1 Y 0.0000 0.0000 0.0000 1
Sc1 Sc 0.1686 0.3314 0.5000 1
Zn1 Zn 0.1273 0.6273 0.0000 1
```

Properties
Energy relative to the elements, eV/atom: -0.231
Distance to the lowest polymorph of the same formula, meV/atom: 48
Uncorrected energy, eV per atom: -4.57



Record 5
Density functional theory data (PBE) for a geometry-optimized Ac5NdIn6 structure.

CIF file:
```
data_Ac5NdIn6
_cell_length_a 17.8607
_cell_length_b 7.7559
_cell_length_c 5.9134
_cell_angle_alpha 90.00
_cell_angle_beta 101.13
_cell_angle_gamma 90.00
_symmetry_space_group_name_H-M 'C 1 2/m 1'
_symmetry_Int_Tables_number 12
loop_
_symmetry_equiv_pos_as_xyz
'x,y,z'
'-x,-y,-z'
'-x,y,-z'
'x,-y,z'
'x+1/2,y+1/2,z'
'-x+1/2,-y+1/2,-z'
'-x+1/2,y+1/2,-z'
'x+1/2,-y+1/2,z'
loop_
_atom_site_label
_atom_site_type_symbol
_atom_site_fract_x
_atom_site_fract_y
_atom_site_fract_z
_atom_site_occupancy
Ac1 Ac 0.0000 0.0000 0.0000 1
Ac2 Ac 0.1620 0.0000 0.6703 1
Ac3 Ac 0.1750 0.5000 0.6886 1
Nd1 Nd 0.0000 0.5000 0.0000 1
In1 In 0.0000 0.2776 0.5000 1
In2 In 0.1602 0.2656 0.1795 1
```

Properties
Energy relative to the elements, eV/atom: -0.424
Uncorrected energy, eV per atom: -3.90



Record 6
Density functional theory data (PBE) for a geometry-optimized ThZnCd2Cu2 structure.

CIF file:
```
data_ThZnCd2Cu2
_cell_length_a 5.0345
_cell_length_b 5.0345
_cell_length_c 10.5101
_cell_angle_alpha 90.00
_cell_angle_beta 90.00
_cell_angle_gamma 90.00
_symmetry_space_group_name_H-M 'I 4/m m m'
_symmetry_Int_Tables_number 139
_symmetry_space_group_name_Hall '-I 4 2'
loop_
_atom_site_label
_atom_site_type_symbol
_atom_site_fract_x
_atom_site_fract_y
_atom_site_fract_z
_atom_site_occupancy
Th1 Th 0.0000 0.0000 0.0000 1
Zn1 Zn 0.0000 0.0000 0.5000 1
Cd1 Cd 0.0000 0.5000 0.2500 1
Cu1 Cu 0.0000 0.0000 0.2765 1
```

Properties
Energy relative to the elements, eV/atom: 0.210
Uncorrected energy, eV per atom: -2.91



Record 7
Density functional theory data (PBE) for a geometry-optimized Cu2HgP structure.

CIF file:
```
data_Cu2HgP
_cell_length_a 7.5326
_cell_length_b 3.4349
_cell_length_c 5.8605
_cell_angle_alpha 90.00
_cell_angle_beta 106.53
_cell_angle_gamma 90.00
_symmetry_space_group_name_H-M 'C 1 m 1'
_symmetry_Int_Tables_number 8
loop_
_symmetry_equiv_pos_as_xyz
'x,y,z'
'x,-y,z'
'x+1/2,y+1/2,z'
'x+1/2,-y+1/2,z'
loop_
_atom_site_label
_atom_site_type_symbol
_atom_site_fract_x
_atom_site_fract_y
_atom_site_fract_z
_atom_site_occupancy
Cu1 Cu 0.0000 0.0000 0.0000 1
Cu2 Cu 0.1578 0.5000 0.7902 1
Hg1 Hg 0.3626 0.0000 0.2940 1
P1 P 0.3472 0.0000 0.7391 1
```

Properties
Energy relative to the elements, eV/atom: 0.148
Uncorrected energy, eV per atom: -3.33



Record 8
Density functional theory data (PBE) for a geometry-optimized Y2TcAgN structure.

CIF file:
```
data_Y2TcAgN
_cell_length_a 4.9498
_cell_length_b 4.9498
_cell_length_c 3.8942
_cell_angle_alpha 90.00
_cell_angle_beta 90.00
_cell_angle_gamma 90.00
_symmetry_space_group_name_H-M 'P 4/m m m'
_symmetry_Int_Tables_number 123
_symmetry_space_group_name_Hall '-P 4 2'
loop_
_atom_site_label
_atom_site_type_symbol
_atom_site_fract_x
_atom_site_fract_y
_atom_site_fract_z
_atom_site_occupancy
Y1 Y 0.0000 0.5000 0.0000 1
Tc1 Tc 0.0000 0.0000 0.5000 1
Ag1 Ag 0.5000 0.5000 0.5000 1
N1 N 0.0000 0.0000 0.0000 1
```

Properties
ΔE_f (raw), eV per formula unit: -3.35
Uncorrected energy, eV per atom: -7.56



Question: Which formula does entry 6 have?
Answer: ThZnCd2Cu2



Question: Which value of uncorrected energy does entry 4 give?
Answer: -4.57 eV per atom



Question: The lowest uncorrected energy belongs to which entry?
Answer: Y2TcAgN



Question: Number 6 is which compound?
Answer: ThZnCd2Cu2